Below is a crystal of BaAlGeF relaxed with PBEsol, with properties calculated at the SCAN level.

Summary:
Total magnetization in μB per formula unit: 0.00
E in eV per atom: -19.320
Energy relative to the elements, uncorrected in eV/atom: -1.84

Unit cell a=4.2172 b=4.2172 c=9.7650 alpha=90.00 beta=90.00 gamma=90.00
Fractional coordinates of all 8 atoms:
Ba  0.2500  0.2500  0.1598
Ba  0.7500  0.7500  0.8402
Al  0.2500  0.7500  0.5000
Al  0.7500  0.2500  0.5000
Ge  0.2500  0.2500  0.6580
Ge  0.7500  0.7500  0.3420
F  0.2500  0.7500  0.0000
F  0.7500  0.2500  0.0000